# 1
DFT (PBE) results for a relaxed structure of Ba2CdPd.

Formation energy, eV per atom: -0.411
Space-group type: No. 8

POSCAR file:
```
Ba2CdPd
1.0
4.187 -2.412 0.000
4.187 2.412 0.000
-2.777 0.000 8.237
Ba Cd Pd
2 1 1
Cartesian
0.000 0.000 0.000
-0.002 0.000 4.243
2.788 0.000 2.114
5.576 0.000 2.148
```

=====

# 2
DFT (PBE) results for a relaxed structure of Tl2Ga3I5.

ΔE_f (raw), eV per atom: -0.4369
Space-group type: No. 2

POSCAR file:
```
Tl2Ga3I5
1.0
4.965 0.000 0.000
0.131 8.851 0.000
1.477 4.216 9.214
Tl Ga I
2 3 5
Cartesian
1.256 5.000 2.440
5.317 8.067 6.774
0.802 9.633 2.019
2.483 0.000 0.000
5.771 3.434 7.195
0.738 2.108 4.607
2.873 10.228 8.295
2.808 5.524 6.471
3.766 7.543 2.744
3.700 2.840 0.920
```

=====

Number 1: mass density 4.925 Mg/m³. Number 2: mass density 5.135 Mg/m³.